# 1
VASP calculation (PBE-GGA) on crystalline ScUCoOs at its relaxed geometry.

a b c (Å): 6.546 6.546 6.546
angles (deg): 90.00 90.00 90.00
Positions (direct):
1 Sc 0.000 0.000 0.000
2 Sc 0.000 0.500 0.500
3 Sc 0.500 0.000 0.500
4 Sc 0.500 0.500 0.000
5 U 0.000 0.000 0.500
6 U 0.000 0.500 0.000
7 U 0.500 0.000 0.000
8 U 0.500 0.500 0.500
9 Co 0.250 0.250 0.750
10 Co 0.250 0.750 0.250
11 Co 0.750 0.250 0.250
12 Co 0.750 0.750 0.750
13 Os 0.250 0.250 0.250
14 Os 0.250 0.750 0.750
15 Os 0.750 0.250 0.750
16 Os 0.750 0.750 0.250

Computed properties:
The calculation puts the formation energy at -172.9 meV per atom. The calculated volume comes out at 17.533 Å³/atom. The value obtained for the density of states at the Fermi level is 7.52 states/eV/f.u. As for the total energy: -9.162 eV/atom.

=====

# 2
VASP calculation (PBE-GGA) on crystalline PrSm4Zn2 at its relaxed geometry.

a b c (Å): 10.616 10.616 10.616
angles (deg): 27.30 27.30 27.30
Positions (direct):
1 Pr 0.000 0.000 0.000
2 Sm 0.201 0.201 0.201
3 Sm 0.398 0.398 0.398
4 Sm 0.602 0.602 0.602
5 Sm 0.799 0.799 0.799
6 Zn 0.100 0.100 0.100
7 Zn 0.900 0.900 0.900

Computed properties:
The calculation puts the formation energy at 137.0 meV per atom. The calculated volume comes out at 31.735 Å³/atom. The value obtained for the density of states at the Fermi level is 14.02 states/eV/f.u. As for the total energy: -3.606 eV/atom.

=====

# 3
VASP calculation (PBE-GGA) on crystalline TmGaPt2 at its relaxed geometry.

a b c (Å): 3.370 3.370 6.303
angles (deg): 90.00 90.00 90.00
Positions (direct):
1 Tm 0.000 0.000 0.000
2 Ga 0.000 0.000 0.500
3 Pt 0.500 0.500 0.275
4 Pt 0.500 0.500 0.725

Computed properties:
The calculation puts the formation energy at -920.7 meV per atom. The calculated volume comes out at 17.894 Å³/atom. The value obtained for the density of states at the Fermi level is 1.36 states/eV/f.u. As for the total energy: -5.816 eV/atom.